PBE-GGA CaTe2P, relaxed; spin magnetization = 0.000 Bohr magnetons per cell; crystal system = tetragonal; volume = 29.75 Å³/atom
1.0
3.7008 0.0000 0.0000
0.0000 3.7008 0.0000
0.0000 0.0000 8.6880
Ca Te P
1 2 1
direct
0.0000 0.0000 0.0000 Ca
0.0000 0.0000 0.3720 Te
0.5000 0.5000 0.7914 Te
0.5000 0.5000 0.2672 P

***

PBE-GGA Ag3W, relaxed; spin magnetization = 1.164 Bohr magnetons per cell; crystal system = trigonal; volume = 17.42 Å³/atom
1.0
9.5242 0.0000 0.0000
-4.7621 8.2482 0.0000
0.0000 0.0000 2.6614
Ag W
9 3
direct
0.0000 0.5000 0.0000 Ag
0.1667 0.3333 0.3333 Ag
0.1667 0.8333 0.3333 Ag
0.3333 0.1667 0.6667 Ag
0.5000 0.0000 0.0000 Ag
0.5000 0.5000 0.0000 Ag
0.6667 0.8333 0.3333 Ag
0.8333 0.1667 0.6667 Ag
0.8333 0.6667 0.6667 Ag
0.0000 0.0000 0.0000 W
0.3333 0.6667 0.6667 W
0.6667 0.3333 0.3333 W

***

PBE-GGA NaY2As2, relaxed; spin magnetization = 1.564 Bohr magnetons per cell; crystal system = tetragonal; volume = 24.00 Å³/atom
1.0
7.8956 0.0000 0.0000
0.0000 7.8956 0.0000
0.0000 0.0000 3.8502
Na Y As
2 4 4
direct
0.0000 0.0000 0.0000 Na
0.5000 0.5000 0.0000 Na
0.1522 0.3478 0.5000 Y
0.3478 0.8478 0.5000 Y
0.6522 0.1522 0.5000 Y
0.8478 0.6522 0.5000 Y
0.1535 0.6535 0.0000 As
0.3465 0.1535 0.0000 As
0.6535 0.8465 0.0000 As
0.8465 0.3465 0.0000 As

***

PBE-GGA PmThBi2, relaxed; spin magnetization = 0.000 Bohr magnetons per cell; crystal system = tetragonal; volume = 30.59 Å³/atom
1.0
5.8203 0.0000 0.0000
0.0000 5.8203 0.0000
0.0000 0.0000 3.6124
Pm Th Bi
1 1 2
direct
0.0000 0.0000 0.0000 Pm
0.5000 0.5000 0.0000 Th
0.0000 0.5000 0.5000 Bi
0.5000 0.0000 0.5000 Bi

***

PBE-GGA Cd4In3Hg4, relaxed; spin magnetization = 0.000 Bohr magnetons per cell; crystal system = triclinic; volume = 25.41 Å³/atom
1.0
3.4484 0.0000 0.0000
0.3889 5.4980 0.0000
0.2485 1.9592 14.7400
Cd In Hg
4 3 4
direct
0.1138 0.1861 0.1314 Cd
0.2914 0.5419 0.4106 Cd
0.7086 0.4581 0.5894 Cd
0.8862 0.8139 0.8686 Cd
0.0000 0.0000 0.5000 In
0.1638 0.3606 0.7731 In
0.8362 0.6394 0.2269 In
0.3598 0.7278 0.0456 Hg
0.4709 0.9048 0.6855 Hg
0.5291 0.0952 0.3145 Hg
0.6402 0.2722 0.9544 Hg

***

PBE-GGA La13Th3, relaxed; spin magnetization = 0.000 Bohr magnetons per cell; crystal system = orthorhombic; volume = 36.08 Å³/atom
1.0
7.3932 0.0000 0.0000
0.0000 6.0878 6.4128
0.0000 -6.0878 6.4128
La Th
13 3
direct
0.0000 0.0000 0.0000 La
0.0000 0.4377 0.9229 La
0.0000 0.5204 0.5204 La
0.0000 0.9229 0.4377 La
0.2555 0.2552 0.2552 La
0.2561 0.1697 0.6774 La
0.2561 0.6774 0.1697 La
0.5000 0.4203 0.9223 La
0.5000 0.5233 0.5233 La
0.5000 0.9223 0.4203 La
0.7439 0.1697 0.6774 La
0.7439 0.6774 0.1697 La
0.7445 0.2552 0.2552 La
0.2587 0.7643 0.7643 Th
0.5000 0.0004 0.0004 Th
0.7413 0.7643 0.7643 Th

***

Number 1: total DFT energy (no corrections) -3.810 eV/atom. Number 2: total DFT energy (no corrections) -4.712 eV/atom. Number 3: total DFT energy (no corrections) -5.723 eV/atom. Number 4: total DFT energy (no corrections) -5.591 eV/atom. Number 5: total DFT energy (no corrections) -1.165 eV/atom. Number 6: total DFT energy (no corrections) -5.348 eV/atom.